# 1
Density functional theory data (PBE) for a relaxed structure of Dy3Tl2O.

- Raw total energy: -5.02 eV/atom
- Space-group type: No. 15
- Raw formation energy: -1.10 eV/atom
- Volume: 304 Å³/cell

Unit cell a=6.4277 b=6.9056 c=7.6407 alpha=98.30 beta=114.87 gamma=90.00
With the nearest neighbours (Å) after each atom.
Fractional coordinates of all 12 atoms:
Dy  0.4082  0.2500  0.0000  1 O 2.19
Dy  0.5918  0.7500  0.0000  1 O 2.19
Dy  0.0320  0.1380  0.2400  1 O 2.18
Dy  0.7919  0.3620  0.7600  1 O 2.18
Dy  0.2081  0.6380  0.2400  1 O 2.18
Dy  0.9680  0.8620  0.7600  1 O 2.18
Tl  0.7501  0.5389  0.3684  1 Tl 3.09, 5 Dy 3.14-3.30
Tl  0.6183  0.0389  0.3684  1 Tl 3.09, 5 Dy 3.14-3.30
Tl  0.3817  0.9611  0.6316  1 Tl 3.09, 5 Dy 3.14-3.30
Tl  0.2499  0.4611  0.6316  1 Tl 3.09, 5 Dy 3.14-3.30
O  0.9327  0.7500  0.0000  3 Dy 2.18-2.19
O  0.0673  0.2500  0.0000  3 Dy 2.18-2.19


# 2
Density functional theory data (PBE) for a relaxed structure of PmSm5Te8.

- Raw total energy: -5.21 eV/atom
- Space-group type: No. 82
- Raw formation energy: -1.39 eV/atom
- Volume: 433 Å³/cell

Unit cell a=8.2569 b=8.2569 c=8.2569 alpha=108.17 beta=112.11 gamma=108.17
With the nearest neighbours (Å) after each atom.
Fractional coordinates of all 14 atoms:
Pm  0.2500  0.5000  0.7500  8 Te 3.24-3.38
Sm  0.0357  0.4101  0.1247  6 Te 3.13-3.21
Sm  0.8753  0.9110  0.2854  6 Te 3.13-3.21
Sm  0.7146  0.5899  0.6256  6 Te 3.13-3.21
Sm  0.5000  0.0000  0.5000  8 Te 3.23-3.37
Sm  0.3744  0.0890  0.9643  6 Te 3.13-3.21
Te  0.1263  0.7570  0.0166  4 Sm 3.13-3.37, 1 Pm 3.24
Te  0.9834  0.1097  0.7404  4 Sm 3.13-3.37, 1 Pm 3.24
Te  0.7652  0.2566  0.3768  4 Sm 3.13-3.23, 1 Pm 3.38
Te  0.6232  0.3884  0.8798  4 Sm 3.13-3.23, 1 Pm 3.38
Te  0.4914  0.6116  0.2348  4 Sm 3.13-3.23, 1 Pm 3.38
Te  0.6307  0.8903  0.8737  4 Sm 3.13-3.37, 1 Pm 3.24
Te  0.2596  0.2430  0.3693  4 Sm 3.13-3.37, 1 Pm 3.24
Te  0.1202  0.7434  0.5086  4 Sm 3.13-3.23, 1 Pm 3.38


# 3
Density functional theory data (PBE) for a relaxed structure of Zn4GaCu7.

- Raw total energy: -3.15 eV/atom
- ΔE to the lowest computed polymorph: 0.000 eV/atom
- Space-group type: No. 2
- Formation enthalpy at 0 K: -0.082 eV/atom
- Volume: 155 Å³/cell

Unit cell a=5.2024 b=6.8699 c=6.6334 alpha=81.05 beta=89.44 gamma=42.19
With the nearest neighbours (Å) after each atom.
Fractional coordinates of all 12 atoms:
Zn  0.5338  0.7036  0.3389  8 Cu 2.57-2.70, 3 Zn 2.66-2.72, 1 Ga 2.69
Zn  0.4662  0.2964  0.6611  8 Cu 2.57-2.70, 3 Zn 2.66-2.72, 1 Ga 2.69
Zn  0.7220  0.7819  0.6745  8 Cu 2.58-2.66, 4 Zn 2.66-2.72
Zn  0.2780  0.2181  0.3255  8 Cu 2.58-2.66, 4 Zn 2.66-2.72
Ga  0.0000  0.0000  0.0000  10 Cu 2.60-2.67, 2 Zn 2.69
Cu  0.7486  0.4996  0.9992  7 Cu 2.58-2.68, 3 Zn 2.59-2.63, 2 Ga 2.61-2.67
Cu  0.2514  0.5004  0.0008  7 Cu 2.58-2.68, 3 Zn 2.59-2.63, 2 Ga 2.61-2.67
Cu  0.9804  0.2805  0.6702  6 Zn 2.60-2.66, 5 Cu 2.60-2.72, 1 Ga 2.63
Cu  0.0196  0.7195  0.3298  6 Zn 2.60-2.66, 5 Cu 2.60-2.72, 1 Ga 2.63
Cu  0.2166  0.7893  0.6647  5 Zn 2.57-2.68, 6 Cu 2.59-2.72, 1 Ga 2.62
Cu  0.5000  0.0000  0.0000  4 Zn 2.58-2.70, 2 Ga 2.60, 6 Cu 2.63-2.68
Cu  0.7834  0.2107  0.3353  5 Zn 2.57-2.68, 6 Cu 2.59-2.72, 1 Ga 2.62


# 4
Density functional theory data (PBE) for a relaxed structure of MgZn2AgH.

- Raw total energy: -1.99 eV/atom
- Space-group type: No. 123
- Volume: 70 Å³/cell

Unit cell a=4.0510 b=4.0510 c=4.2840 alpha=90.00 beta=90.00 gamma=90.00
With the nearest neighbours (Å) after each atom.
Fractional coordinates of all 5 atoms:
H  0.0000  0.0000  0.0000  4 Zn 2.03, 2 Mg 2.14
Zn  0.0000  0.5000  0.0000  2 H 2.03
Zn  0.5000  0.0000  0.0000  2 H 2.03
Mg  0.0000  0.0000  0.5000  2 H 2.14
Ag  0.5000  0.5000  0.5000  4 Mg 2.86, 8 Zn 2.95


# 5
Density functional theory data (PBE) for a relaxed structure of Ce2Ga9Ni3.

- Raw total energy: -4.51 eV/atom
- Space-group type: No. 15
- Formation enthalpy at 0 K: -0.476 eV/atom
- Volume: 470 Å³/cell

Unit cell a=7.5084 b=7.5084 c=10.5494 alpha=89.99 beta=110.86 gamma=120.00
With the nearest neighbours (Å) after each atom.
Fractional coordinates of all 28 atoms:
Ce  0.3329  0.2497  0.7489  11 Ga 3.04-3.11
Ce  0.6671  0.7503  0.2511  11 Ga 3.04-3.11
Ce  0.0008  0.5840  0.7511  11 Ga 3.04-3.11
Ce  0.9992  0.4160  0.2489  11 Ga 3.04-3.11
Ga  0.4574  0.9181  0.7487  2 Ni 2.56-2.59, 6 Ga 2.72-2.85
Ga  0.5426  0.0819  0.2513  2 Ni 2.56-2.59, 6 Ga 2.72-2.85
Ga  0.6694  0.7087  0.7513  2 Ni 2.56-2.59, 6 Ga 2.72-2.85
Ga  0.3306  0.2913  0.2487  2 Ni 2.56-2.59, 6 Ga 2.72-2.85
Ga  0.4541  0.6446  0.9302  3 Ni 2.59, 5 Ga 2.78-2.85
Ga  0.5459  0.3554  0.0698  3 Ni 2.59, 5 Ga 2.78-2.85
Ga  0.2143  0.5239  0.5698  3 Ni 2.59, 5 Ga 2.78-2.85
Ga  0.7857  0.4761  0.4302  3 Ni 2.59, 5 Ga 2.78-2.85
Ga  0.8764  0.1264  0.7500  2 Ni 2.59, 6 Ga 2.72-2.87
Ga  0.1236  0.8736  0.2500  2 Ni 2.59, 6 Ga 2.72-2.87
Ga  0.1292  0.9815  0.9420  3 Ni 2.56-2.58, 4 Ga 2.75-2.85
Ga  0.8708  0.0185  0.0580  3 Ni 2.56-2.58, 4 Ga 2.75-2.85
Ga  0.5395  0.1872  0.5580  3 Ni 2.56-2.58, 4 Ga 2.75-2.85
Ga  0.4605  0.8128  0.4420  3 Ni 2.56-2.58, 4 Ga 2.75-2.85
Ga  0.8792  0.8568  0.5714  3 Ni 2.59, 5 Ga 2.77-2.87
Ga  0.1208  0.1432  0.4286  3 Ni 2.59, 5 Ga 2.77-2.87
Ga  0.7855  0.3079  0.9286  3 Ni 2.59, 5 Ga 2.77-2.87
Ga  0.2145  0.6921  0.0714  3 Ni 2.59, 5 Ga 2.77-2.87
Ni  0.5000  0.0000  0.0000  8 Ga 2.56-2.59
Ni  0.5000  0.5000  0.5000  8 Ga 2.56-2.59
Ni  0.8346  0.1674  0.4989  8 Ga 2.56-2.59
Ni  0.1654  0.8326  0.5011  8 Ga 2.56-2.59
Ni  0.1685  0.3357  0.0011  8 Ga 2.56-2.59
Ni  0.8315  0.6643  0.9989  8 Ga 2.56-2.59


# 6
Density functional theory data (PBE) for a relaxed structure of Cr2SiP.

- Raw total energy: -7.61 eV/atom
- ΔE to the lowest computed polymorph: 0.242 eV/atom
- Space-group type: No. 44
- Raw formation energy: -0.09 eV/atom
- Volume: 47 Å³/cell

Unit cell a=4.6868 b=4.6868 c=4.6868 alpha=142.14 beta=131.53 gamma=63.09
With the nearest neighbours (Å) after each atom.
Fractional coordinates of all 4 atoms:
Cr  0.9996  0.9996  0.0000  4 P 2.45, 2 Si 2.48, 4 Cr 2.57-2.72
Cr  0.7406  0.2406  0.5000  2 P 2.36, 4 Si 2.45, 2 Cr 2.57
P  0.5142  0.5142  0.0000  6 Cr 2.36-2.45, 2 Si 2.63
Si  0.2456  0.7456  0.5000  6 Cr 2.45-2.48, 4 P 2.63-2.67


> Number 2 is which compound?

PmSm5Te8


> The lowest volume belongs to which entry?

Cr2SiP


Copy entry 2 word for word.
Density functional theory data (PBE) for a relaxed structure of PmSm5Te8.

- Raw total energy: -5.21 eV/atom
- Space-group type: No. 82
- Raw formation energy: -1.39 eV/atom
- Volume: 433 Å³/cell

Unit cell a=8.2569 b=8.2569 c=8.2569 alpha=108.17 beta=112.11 gamma=108.17
With the nearest neighbours (Å) after each atom.
Fractional coordinates of all 14 atoms:
Pm  0.2500  0.5000  0.7500  8 Te 3.24-3.38
Sm  0.0357  0.4101  0.1247  6 Te 3.13-3.21
Sm  0.8753  0.9110  0.2854  6 Te 3.13-3.21
Sm  0.7146  0.5899  0.6256  6 Te 3.13-3.21
Sm  0.5000  0.0000  0.5000  8 Te 3.23-3.37
Sm  0.3744  0.0890  0.9643  6 Te 3.13-3.21
Te  0.1263  0.7570  0.0166  4 Sm 3.13-3.37, 1 Pm 3.24
Te  0.9834  0.1097  0.7404  4 Sm 3.13-3.37, 1 Pm 3.24
Te  0.7652  0.2566  0.3768  4 Sm 3.13-3.23, 1 Pm 3.38
Te  0.6232  0.3884  0.8798  4 Sm 3.13-3.23, 1 Pm 3.38
Te  0.4914  0.6116  0.2348  4 Sm 3.13-3.23, 1 Pm 3.38
Te  0.6307  0.8903  0.8737  4 Sm 3.13-3.37, 1 Pm 3.24
Te  0.2596  0.2430  0.3693  4 Sm 3.13-3.37, 1 Pm 3.24
Te  0.1202  0.7434  0.5086  4 Sm 3.13-3.23, 1 Pm 3.38